# 1
The following is a DFT calculation (PBE) of an optimized crystal structure of ScMnSe2.

Uncorrected formation energy in meV per atom: -715.4
E above lowest polymorph in meV per atom: 284

Unit cell a=4.7157 b=4.7157 c=4.7157 alpha=60.00 beta=60.00 gamma=60.00
Element x y z (fractional)
Se 0.2500 0.2500 0.2500
Mn 0.5000 0.5000 0.5000
Se 0.7500 0.7500 0.7500
Sc 0.0000 0.0000 0.0000

# 2
The following is a DFT calculation (PBE) of an optimized crystal structure of LaDy2Pb.

Energy of formation in eV per atom: -0.14
E above lowest polymorph in meV per atom: 192

Unit cell a=3.6260 b=3.6260 c=11.3920 alpha=80.84 beta=80.84 gamma=60.00
Element x y z (fractional)
La 0.4999 0.4999 0.5004
Dy 0.2558 0.2558 0.2327
Dy 0.0778 0.0778 0.7665
Pb 0.6665 0.6665 0.0004